MgTe2IrN | PBE | optimized geometry

abc: 5.362 5.362 3.716
angles: 90.00 90.00 90.00
Element x y z (fractional)
Te 0.500 0.000 0.000
Te 0.000 0.500 0.000
Ir 0.500 0.500 0.500
Mg 0.000 0.000 0.000
N 0.000 0.000 0.500

Results
Polymorph energy (0 for the lowest one), meV/atom: 1071
Uncorrected formation energy, eV/atom: 1.181

LiHoAl2 | PBE | optimized geometry

abc: 4.488 5.343 4.338
angles: 128.01 90.00 90.00
Element x y z (fractional)
Li 0.500 0.000 0.000
Al 0.000 0.193 0.386
Al 0.000 0.807 0.614
Ho 0.500 0.500 0.000

Results
ΔH_f (0 K), eV per atom: 0.03
Polymorph energy (0 for the lowest one), meV/atom: 290

DyYTmSc2 | PBE | optimized geometry

abc: 6.022 6.022 8.921
angles: 109.72 90.00 90.00
Element x y z (fractional)
Dy 0.750 0.751 0.501
Dy 0.250 0.249 0.499
Sc 0.000 0.750 0.000
Sc 0.000 0.250 0.000
Sc 0.500 0.750 0.000
Sc 0.500 0.250 0.000
Tm 0.250 0.652 0.303
Tm 0.750 0.348 0.697
Y 0.750 0.153 0.306
Y 0.250 0.847 0.694

Results
ΔH_f (0 K), eV per atom: 0.36

no.,density of states at the Fermi level (states/eV per cell)
1,5.696
2,2.441
3,15.811